1.
{
  "formula": "Zn3P2H7O12",
  "functional": "GGA-PBEsol",
  "state": "optimized geometry",
  "lattice": [[-4.156, 2.481, -0.755], [-5.552, -8.207, 3.590], [0.953, 6.716, 16.829]],
  "species": ["Zn", "Zn", "Zn", "Zn", "Zn", "Zn", "Zn", "Zn", "Zn", "Zn", "Zn", "Zn", "P", "P", "P", "P", "P", "P", "P", "P", "H", "H", "H", "H", "H", "H", "H", "H", "H", "H", "H", "H", "H", "H", "H", "H", "H", "H", "H", "H", "H", "H", "H", "H", "H", "H", "H", "H", "O", "O", "O", "O", "O", "O", "O", "O", "O", "O", "O", "O", "O", "O", "O", "O", "O", "O", "O", "O", "O", "O", "O", "O", "O", "O", "O", "O", "O", "O", "O", "O", "O", "O", "O", "O", "O", "O", "O", "O", "O", "O", "O", "O", "O", "O", "O", "O"],
  "frac_coords": [[0.986, 0.856, 0.995], [0.014, 0.356, 0.505], [0.514, 0.144, 0.495], [0.486, 0.644, 0.005], [0.429, 0.140, 0.004], [0.571, 0.640, 0.496], [0.071, 0.860, 0.504], [0.929, 0.360, 0.996], [0.785, 0.239, 0.741], [0.215, 0.739, 0.759], [0.715, 0.761, 0.241], [0.285, 0.261, 0.259], [0.947, 0.107, 0.901], [0.053, 0.607, 0.599], [0.553, 0.893, 0.401], [0.447, 0.393, 0.099], [0.468, 0.906, 0.094], [0.532, 0.406, 0.406], [0.032, 0.094, 0.594], [0.968, 0.594, 0.906], [0.321, 0.119, 0.771], [0.679, 0.619, 0.729], [0.179, 0.881, 0.271], [0.821, 0.381, 0.229], [0.243, 0.362, 0.785], [0.757, 0.862, 0.715], [0.257, 0.638, 0.285], [0.743, 0.138, 0.215], [0.042, 0.470, 0.755], [0.958, 0.970, 0.745], [0.458, 0.530, 0.255], [0.542, 0.030, 0.245], [0.693, 0.410, 0.637], [0.307, 0.910, 0.863], [0.807, 0.590, 0.137], [0.193, 0.090, 0.363], [0.879, 0.606, 0.357], [0.121, 0.106, 0.143], [0.621, 0.394, 0.857], [0.379, 0.894, 0.643], [0.408, 0.373, 0.680], [0.592, 0.873, 0.820], [0.092, 0.627, 0.180], [0.908, 0.127, 0.320], [0.978, 0.750, 0.362], [0.022, 0.250, 0.138], [0.522, 0.250, 0.862], [0.478, 0.750, 0.638], [0.067, 0.975, 0.918], [0.933, 0.475, 0.582], [0.433, 0.025, 0.418], [0.567, 0.525, 0.082], [0.306, 0.031, 0.081], [0.694, 0.531, 0.419], [0.194, 0.969, 0.581], [0.806, 0.469, 0.919], [0.830, 0.697, 0.957], [0.170, 0.197, 0.543], [0.670, 0.303, 0.457], [0.330, 0.803, 0.043], [0.588, 0.297, 0.044], [0.412, 0.797, 0.456], [0.912, 0.703, 0.544], [0.088, 0.203, 0.956], [0.763, 0.926, 0.070], [0.237, 0.426, 0.430], [0.737, 0.074, 0.570], [0.263, 0.574, 0.930], [0.635, 0.115, 0.914], [0.365, 0.615, 0.586], [0.865, 0.885, 0.414], [0.135, 0.385, 0.086], [0.011, 0.142, 0.821], [0.989, 0.642, 0.679], [0.489, 0.858, 0.321], [0.511, 0.358, 0.179], [0.454, 0.868, 0.175], [0.546, 0.368, 0.325], [0.046, 0.132, 0.675], [0.954, 0.632, 0.825], [0.480, 0.102, 0.738], [0.520, 0.602, 0.762], [0.020, 0.898, 0.238], [0.980, 0.398, 0.262], [0.098, 0.381, 0.747], [0.902, 0.881, 0.753], [0.402, 0.619, 0.247], [0.598, 0.119, 0.253], [0.587, 0.341, 0.662], [0.413, 0.841, 0.838], [0.913, 0.659, 0.162], [0.087, 0.159, 0.338], [0.970, 0.677, 0.328], [0.030, 0.177, 0.172], [0.530, 0.323, 0.828], [0.470, 0.823, 0.672]],
  "magmom_total_mub_per_fu": 1.0,
  "space_group": "No. 19",
  "e_tot_ev_per_atom": -5.71
}


2.
{
  "formula": "Mn3Si",
  "functional": "GGA-PBEsol",
  "state": "optimized geometry",
  "lattice": [[2.557, 0.000, 0.000], [0.000, 3.472, 0.000], [0.000, 0.000, 4.942]],
  "species": ["Mn", "Mn", "Mn", "Si"],
  "frac_coords": [[0.500, 0.500, 0.751], [0.000, 0.000, 0.500], [0.500, 0.500, 0.249], [0.000, 0.000, 0.000]],
  "magmom_total_mub_per_fu": 1.8,
  "space_group": "No. 47",
  "e_form_raw_ev_per_fu": -0.82,
  "e_tot_ev_per_atom": -8.96
}


3.
{
  "formula": "CaNdRh2",
  "functional": "GGA-PBEsol",
  "state": "optimized geometry",
  "lattice": [[-1.735, -1.281, 4.319], [2.970, -0.339, 3.790], [-0.251, 3.250, 3.561]],
  "species": ["Nd", "Ca", "Rh", "Rh"],
  "frac_coords": [[0.000, 0.000, 0.000], [0.500, 0.500, 0.500], [0.250, 0.250, 0.250], [0.750, 0.750, 0.750]],
  "magmom_total_mub_per_fu": 0.0,
  "ef_ev_per_atom": -0.431,
  "space_group": "No. 225",
  "e_tot_ev_per_atom": -6.33
}


4.
{
  "formula": "Ni2SnO",
  "functional": "GGA-PBEsol",
  "state": "optimized geometry",
  "lattice": [[4.088, 0.000, 0.000], [2.044, 3.541, 0.000], [2.044, 1.180, 3.338]],
  "species": ["Ni", "Ni", "Sn", "O"],
  "frac_coords": [[0.250, 0.250, 0.250], [0.750, 0.750, 0.750], [0.500, 0.500, 0.500], [0.000, 0.000, 0.000]],
  "magmom_total_mub_per_fu": 0.0,
  "space_group": "No. 225",
  "e_form_raw_ev_per_fu": 0.30,
  "e_tot_ev_per_atom": -5.38
}


5.
{
  "formula": "Cd4CoSe",
  "functional": "GGA-PBEsol",
  "state": "optimized geometry",
  "lattice": [[-0.173, -0.488, 5.514], [-4.326, -2.463, 2.427], [0.611, -4.972, 2.361]],
  "species": ["Cd", "Cd", "Cd", "Cd", "Co", "Se"],
  "frac_coords": [[0.375, 0.375, 0.375], [0.375, 0.375, 0.874], [0.874, 0.375, 0.375], [0.375, 0.874, 0.375], [0.750, 0.750, 0.750], [0.000, 0.000, 0.000]],
  "magmom_total_mub_per_fu": 1.2,
  "space_group": "No. 216",
  "e_form_raw_ev_per_fu": 3.18,
  "e_tot_ev_per_atom": -2.20
}


6.
{
  "formula": "ScSiP2",
  "functional": "GGA-PBEsol",
  "state": "optimized geometry",
  "lattice": [[3.446, 0.000, 0.000], [0.000, 3.446, 0.000], [0.000, 0.000, 5.192]],
  "species": ["P", "P", "Sc", "Si"],
  "frac_coords": [[0.000, 0.000, 0.739], [0.000, 0.000, 0.261], [0.500, 0.500, 0.000], [0.500, 0.500, 0.500]],
  "magmom_total_mub_per_fu": 0.0,
  "space_group": "No. 123",
  "e_form_raw_ev_per_fu": -1.75,
  "e_tot_ev_per_atom": -6.42
}


7.
{
  "formula": "ZrHg2Pb",
  "functional": "GGA-PBEsol",
  "state": "optimized geometry",
  "lattice": [[-0.053, -2.259, 2.256], [2.983, -3.346, -3.282], [3.017, 4.499, 2.317]],
  "species": ["Pb", "Hg", "Hg", "Zr"],
  "frac_coords": [[0.514, 0.596, 0.028], [0.985, 0.080, 0.969], [0.741, 0.169, 0.483], [0.260, 0.654, 0.521]],
  "magmom_total_mub_per_fu": 0.0,
  "ef_ev_per_atom": -0.109,
  "space_group": "No. 8",
  "e_tot_ev_per_atom": -3.66
}


8.
{
  "formula": "RbLaO2",
  "functional": "GGA-PBEsol",
  "state": "optimized geometry",
  "lattice": [[6.378, 0.000, 0.000], [-3.189, 5.659, 0.159], [0.000, 3.443, 5.368]],
  "species": ["O", "O", "O", "O", "Rb", "Rb", "La", "La"],
  "frac_coords": [[0.701, 0.750, 0.375], [0.049, 0.750, 0.875], [0.875, 0.250, 0.701], [0.375, 0.250, 0.049], [0.250, 0.500, 0.250], [0.500, 0.000, 0.500], [0.750, 0.500, 0.750], [0.000, 0.000, 0.000]],
  "magmom_total_mub_per_fu": 0.0,
  "space_group": "No. 122",
  "e_form_raw_ev_per_fu": -9.97,
  "e_tot_ev_per_atom": -6.71
}


9.
{
  "formula": "Pb2Au",
  "functional": "GGA-PBEsol",
  "state": "optimized geometry",
  "lattice": [[-1.908, -3.241, -2.612], [-1.828, -3.827, 6.085], [-7.829, 4.317, 0.363]],
  "species": ["Au", "Au", "Au", "Au", "Pb", "Pb", "Pb", "Pb", "Pb", "Pb", "Pb", "Pb"],
  "frac_coords": [[0.750, 0.756, 0.113], [0.250, 0.744, 0.613], [0.750, 0.256, 0.387], [0.250, 0.244, 0.887], [0.750, 0.479, 0.666], [0.250, 0.021, 0.166], [0.750, 0.979, 0.834], [0.250, 0.521, 0.334], [0.750, 0.356, 0.074], [0.250, 0.144, 0.574], [0.750, 0.856, 0.426], [0.250, 0.644, 0.926]],
  "magmom_total_mub_per_fu": 0.0,
  "ef_ev_per_atom": -0.058,
  "space_group": "No. 62",
  "e_tot_ev_per_atom": -4.03
}


10.
{
  "formula": "LaTeCl",
  "functional": "GGA-PBEsol",
  "state": "optimized geometry",
  "lattice": [[4.935, 0.000, 0.000], [2.467, 4.274, 0.000], [2.467, 1.425, 4.029]],
  "species": ["Te", "La", "Cl"],
  "frac_coords": [[0.500, 0.500, 0.500], [0.000, 0.000, 0.000], [0.250, 0.250, 0.250]],
  "polymorph_energy_kj_per_mol_fu": 150,
  "magmom_total_mub_per_fu": 0.0,
  "space_group": "No. 216",
  "e_form_raw_ev_per_fu": -4.43,
  "e_tot_ev_per_atom": -5.10
}


11.
{
  "formula": "CaZrAs2Se",
  "functional": "GGA-PBEsol",
  "state": "optimized geometry",
  "lattice": [[-1.325, -0.341, 4.923], [-4.783, -1.162, -1.368], [1.227, -5.031, -0.018]],
  "species": ["As", "As", "Ca", "Se", "Zr"],
  "frac_coords": [[0.000, 0.500, 0.000], [0.500, 0.000, 0.000], [0.500, 0.500, 0.500], [0.000, 0.000, 0.500], [0.000, 0.000, 0.000]],
  "polymorph_energy_kj_per_mol_fu": 0,
  "magmom_total_mub_per_fu": 0.0,
  "space_group": "No. 123",
  "e_form_raw_ev_per_fu": -3.11,
  "e_tot_ev_per_atom": -5.68
}


12.
{
  "formula": "YTa2PS",
  "functional": "GGA-PBEsol",
  "state": "optimized geometry",
  "lattice": [[-2.039, 2.345, 3.282], [-3.837, 0.007, -2.389], [-1.461, -4.536, 2.333]],
  "species": ["Y", "P", "S", "Ta", "Ta"],
  "frac_coords": [[0.000, 0.000, 0.500], [0.000, 0.000, 0.000], [0.500, 0.500, 0.500], [0.000, 0.500, 0.000], [0.500, 0.000, 0.000]],
  "magmom_total_mub_per_fu": 0.0,
  "space_group": "No. 123",
  "e_form_raw_ev_per_fu": 1.30,
  "e_tot_ev_per_atom": -8.16
}